# LiTcF2

A relaxed LiTcF2 crystal (PBE-GGA, Alexandria).

Calculated values
The symmetry is R-3m (166). The calculated total energy is -20.43 eV/cell. The uncorrected formation energy is -1.1017 eV per atom.

```
LiTcF2
1.0
2.6653 5.9446 3.8393
4.9685 4.6289 3.3270
3.9233 6.2942 1.4742
Li Tc F
1 1 2
Direct
0.0000 0.0000 0.0000 Li
0.5000 0.5000 0.5000 Tc
0.9244 0.9244 0.9244 F
0.0756 0.0756 0.0756 F
```